Entry 1:
Material: NaHgH4
Method: DFT, PBE
State: relaxed

D(E_F), states/eV per atom: 0.17
DFT total energy, eV per atom: -2.53
Total magnetic moment, Bohr magnetons per cell: 0.000

extended XYZ file:
```
12
Lattice="4.4836 0.0000 0.0000 -0.0393 4.9232 0.0000 -0.7280 -0.6781 7.4489" Properties=species:S:1:pos:R:3 pbc="T T T"
Na -0.0207 1.2591 1.4500
Na 3.7370 2.9861 5.9988
Hg 1.4638 0.5478 6.5834
Hg 2.2525 3.6974 0.8654
H 0.7144 2.8587 3.4653
H 0.7219 0.3360 3.9115
H 0.8840 0.0339 3.2262
H 0.8414 2.5190 4.1384
H 2.8749 1.7262 3.3104
H 2.8323 4.2112 4.2227
H 2.9944 3.9091 3.5374
H 3.0019 1.3864 3.9835
```

***

Entry 2:
Material: Na3HgH
Method: DFT, PBE
State: relaxed

D(E_F), states/eV per atom: 0.57
DFT total energy, eV per atom: -1.63
Total magnetic moment, Bohr magnetons per cell: 0.000

extended XYZ file:
```
5
Lattice="4.7866 0.0000 0.0000 0.0000 4.7866 0.0000 0.0000 0.0000 4.7866" Properties=species:S:1:pos:R:3 pbc="T T T"
Na 0.0000 0.0000 2.3933
Na 0.0000 2.3933 0.0000
Na 2.3933 0.0000 0.0000
Hg 2.3933 2.3933 2.3933
H 0.0000 0.0000 0.0000
```

***

Entry 3:
Material: Na2HgH6
Method: DFT, PBE
State: relaxed

D(E_F), states/eV per atom: 0.23
DFT total energy, eV per atom: -2.27
Total magnetic moment, Bohr magnetons per cell: 0.000

extended XYZ file:
```
9
Lattice="0.0000 3.6034 3.6034 3.6034 0.0000 3.6034 3.6034 3.6034 0.0000" Properties=species:S:1:pos:R:3 pbc="T T T"
Na 1.8017 1.8017 1.8017
Na 5.4051 5.4051 5.4051
Hg 0.0000 0.0000 0.0000
H 3.6034 3.6034 1.8662
H 3.6034 1.8662 3.6034
H 5.3406 3.6034 3.6034
H 1.8662 3.6034 3.6034
H 3.6034 5.3406 3.6034
H 3.6034 3.6034 5.3406
```

***

Entry 4:
Material: Na2HgH2
Method: DFT, PBE
State: relaxed

D(E_F), states/eV per atom: 0.00
DFT total energy, eV per atom: -1.98
Total magnetic moment, Bohr magnetons per cell: 0.000

extended XYZ file:
```
5
Lattice="-2.1687 2.1687 5.4422 2.1687 -2.1687 5.4422 2.1687 2.1687 -5.4422" Properties=species:S:1:pos:R:3 pbc="T T T"
Na 0.0000 0.0000 2.1432
Na 0.0000 0.0000 8.7413
Hg 0.0000 0.0000 5.4422
H 2.1687 0.0000 2.7211
H 0.0000 2.1687 2.7211
```

***

Entry 5:
Material: Na2HgH
Method: DFT, PBE
State: relaxed

D(E_F), states/eV per atom: 0.33
DFT total energy, eV per atom: -1.46
Total magnetic moment, Bohr magnetons per cell: 0.000

extended XYZ file:
```
4
Lattice="0.0000 3.5598 3.5598 3.5598 0.0000 3.5598 3.5598 3.5598 0.0000" Properties=species:S:1:pos:R:3 pbc="T T T"
Na 1.7799 1.7799 1.7799
Na 5.3397 5.3397 5.3397
Hg 0.0000 0.0000 0.0000
H 3.5598 3.5598 3.5598
```

***

Entry 6:
Material: NaHg5H2
Method: DFT, PBE
State: relaxed

D(E_F), states/eV per atom: 0.23
DFT total energy, eV per atom: -1.12
Total magnetic moment, Bohr magnetons per cell: 0.000

extended XYZ file:
```
8
Lattice="3.4156 0.0000 0.0000 -0.0693 6.2491 0.0000 -0.2634 -0.2443 8.2635" Properties=species:S:1:pos:R:3 pbc="T T T"
Na 0.0000 0.0000 0.0000
Hg -0.1664 3.0024 4.1317
Hg 1.5679 3.7222 1.4406
Hg 1.4337 5.6168 5.3546
Hg 1.6492 0.3879 2.9089
Hg 1.5150 2.2825 6.8229
H 1.3675 5.0382 7.0065
H 1.7153 0.9665 1.2570
```

***

Entry 7:
Material: NaHg4H2
Method: DFT, PBE
State: relaxed

D(E_F), states/eV per atom: 0.17
DFT total energy, eV per atom: -1.19
Total magnetic moment, Bohr magnetons per cell: 0.000

extended XYZ file:
```
7
Lattice="3.9283 0.0000 0.0000 -0.0667 5.5638 0.0000 -1.1520 -2.7027 6.8350" Properties=species:S:1:pos:R:3 pbc="T T T"
Na 0.0000 0.0000 0.0000
Hg 0.1362 0.0791 5.6456
Hg 0.8687 2.8398 4.3236
Hg 1.8409 0.0213 2.5114
Hg 2.5734 2.7819 1.1895
H -0.3238 2.8265 2.6066
H 3.0334 0.0346 4.2284
```

***

Entry 8:
Material: NaHgH6
Method: DFT, PBE
State: relaxed

D(E_F), states/eV per atom: 0.21
DFT total energy, eV per atom: -2.61
Total magnetic moment, Bohr magnetons per cell: 0.000

extended XYZ file:
```
8
Lattice="3.4669 0.0000 0.0000 1.6452 5.5194 0.0000 0.0588 0.1293 6.4151" Properties=species:S:1:pos:R:3 pbc="T T T"
Na 0.0000 0.0000 0.0000
Hg 1.7629 0.0647 3.2076
H 1.6574 3.2813 1.6880
H 1.6700 2.8397 1.0704
H 1.7463 0.1290 1.4371
H 3.4247 5.5197 4.9780
H 3.5009 2.8090 5.3447
H 3.5135 2.3673 4.7271
```

***

Entry 9:
Material: NaHg4H
Method: DFT, PBE
State: relaxed

D(E_F), states/eV per atom: 0.16
DFT total energy, eV per atom: -1.00
Total magnetic moment, Bohr magnetons per cell: 0.000

extended XYZ file:
```
12
Lattice="3.1887 0.0000 0.0000 -0.0226 6.2220 0.0000 -0.7141 -0.0402 13.7434" Properties=species:S:1:pos:R:3 pbc="T T T"
Na 0.0000 0.0000 0.0000
Na -0.0113 3.1110 0.0000
Hg 0.3411 0.6061 5.5323
Hg 0.3508 3.7170 5.5332
Hg 0.8331 4.6105 11.0141
Hg 0.8567 1.5002 11.0165
Hg 1.5954 4.6816 2.7269
Hg 1.6190 1.5712 2.7293
Hg 2.1013 2.4648 8.2102
Hg 2.1109 5.5757 8.2111
H 0.8741 1.5151 13.7174
H 1.5780 4.6667 0.0260
```

***

Entry 10:
Material: Na4Hg2H
Method: DFT, PBE
State: relaxed

D(E_F), states/eV per atom: 0.43
DFT total energy, eV per atom: -1.43
Total magnetic moment, Bohr magnetons per cell: 0.000

extended XYZ file:
```
7
Lattice="-2.3030 2.3030 8.1580 2.3030 -2.3030 8.1580 2.3030 2.3030 -8.1580" Properties=species:S:1:pos:R:3 pbc="T T T"
Na 2.3030 0.0000 0.0000
Na 0.0000 0.0000 2.7696
Na 0.0000 2.3030 0.0000
Na 0.0000 0.0000 13.5465
Hg 0.0000 0.0000 5.8548
Hg 0.0000 0.0000 10.4613
H 0.0000 0.0000 0.0000
```

***

Entry 11:
Material: NaHg2H2
Method: DFT, PBE
State: relaxed

D(E_F), states/eV per atom: 0.18
DFT total energy, eV per atom: -1.60
Total magnetic moment, Bohr magnetons per cell: 0.000

extended XYZ file:
```
10
Lattice="6.5662 0.0000 0.0000 0.0000 6.5662 0.0000 0.0000 0.0000 3.9222" Properties=species:S:1:pos:R:3 pbc="T T T"
Na 0.0000 0.0000 0.0000
Na 3.2831 3.2831 0.0000
Hg 1.0972 2.1859 1.9611
Hg 2.1859 5.4690 1.9611
Hg 4.3803 1.0972 1.9611
Hg 5.4690 4.3803 1.9611
H 1.0974 2.1857 0.0000
H 2.1857 5.4688 0.0000
H 4.3804 1.0974 0.0000
H 5.4688 4.3804 0.0000
```

***

Entry 12:
Material: NaHg2H2
Method: DFT, PBE
State: relaxed

D(E_F), states/eV per atom: 0.06
DFT total energy, eV per atom: -1.70
Total magnetic moment, Bohr magnetons per cell: 0.000

extended XYZ file:
```
5
Lattice="3.7586 0.0000 0.0000 -1.8793 3.2551 0.0000 0.0000 0.0000 7.3481" Properties=species:S:1:pos:R:3 pbc="T T T"
Na 0.0000 0.0000 0.0000
Hg 0.0000 2.1701 2.7340
Hg 1.8793 1.0850 4.6141
H 0.0000 2.1701 0.9416
H 1.8793 1.0850 6.4065
```